A relaxed LaAg4Hg4 crystal. Source: Alexandria, functional PBE.

abc: 9.0077 9.0077 5.2623
angles: 90.00 90.00 90.00
Fractional positions:
La1 0.2500 0.2500 0.2500
La2 0.7500 0.7500 0.7500
Ag1 0.0450 0.1463 0.7492
Ag2 0.1463 0.4550 0.7508
Ag3 0.3537 0.0450 0.7508
Ag4 0.4550 0.3537 0.7492
Ag5 0.5450 0.6463 0.2508
Ag6 0.6463 0.9550 0.2492
Ag7 0.8537 0.5450 0.2492
Ag8 0.9550 0.8537 0.2508
Hg1 0.0987 0.8281 0.7510
Hg2 0.1719 0.5987 0.2510
Hg3 0.3281 0.9013 0.2510
Hg4 0.4013 0.6719 0.7510
Hg5 0.5987 0.3281 0.2490
Hg6 0.6719 0.0987 0.7490
Hg7 0.8281 0.4013 0.7490
Hg8 0.9013 0.1719 0.2490

Values from the calculation:
Density of states at the Fermi level = 6.151 states/eV per cell


A relaxed LaAgHg3 crystal. Source: Alexandria, functional PBE.

abc: 6.0825 6.0825 6.0825
angles: 90.00 90.00 90.00
Fractional positions:
La1 0.0000 0.0000 0.0000
Ag1 0.5000 0.5000 0.5000
Hg1 0.0000 0.0000 0.5000
Hg2 0.0000 0.5000 0.0000
Hg3 0.5000 0.0000 0.0000

Values from the calculation:
Density of states at the Fermi level = 5.291 states/eV per cell
Energy relative to the lowest polymorph listed for this composition = 0.864 eV/atom


| no. | calculated formation energy (eV/f.u.) |
| --- | --- |
| 1 | -0.5 |
| 2 | 2.8 |